Entry 1:
NdErSi2Mo2C: relaxed, PBE-GGA.

Results
V: 18.1 Å³ per atom
Calculated total energy: -0.2888 hartree per atom
Spin magnetization: 0.0 μB/f.u.

abc: 5.9158 5.9158 7.2266
angles: 123.58 123.58 38.05
Sites, in units of the cell vectors:
Nd 0.0000 0.0000 0.0000
Er 0.1502 0.1502 0.5941
Si 0.4446 0.4446 0.6304
Si 0.7093 0.7093 0.9657
Mo 0.3719 0.3719 0.2201
Mo 0.7836 0.7836 0.3847
C 0.5804 0.5804 0.3114

Entry 2:
Gd2In2Pd3Pt: relaxed, PBE-GGA.

Results
V: 20.8 Å³ per atom
Calculated total energy: -0.1987 hartree per atom
Spin magnetization: 0.0 μB/f.u.

abc: 4.6151 4.6151 9.0073
angles: 90.00 90.00 120.00
Sites, in units of the cell vectors:
Gd 0.0000 0.0000 0.0000
Gd 0.3333 0.6667 0.5071
In 0.6667 0.3333 0.2562
In 0.6667 0.3333 0.7565
Pd 0.0000 0.0000 0.3415
Pd 0.0000 0.0000 0.6658
Pd 0.3333 0.6667 0.1708
Pt 0.3333 0.6667 0.8436

Entry 3:
BaAg2SnTeS3: relaxed, PBE-GGA.

Results
V: 28.5 Å³ per atom
Calculated total energy: -0.1499 hartree per atom

abc: 6.5676 6.6232 6.8103
angles: 111.63 116.04 99.31
Sites, in units of the cell vectors:
Ba 0.0000 0.0000 0.0000
Ag 0.1845 0.6581 0.4804
Ag 0.7883 0.3270 0.4709
Sn 0.4577 0.4586 0.9474
Te 0.8510 0.8534 0.3832
S 0.0889 0.4876 0.9353
S 0.4506 0.4471 0.5808
S 0.5142 0.1214 0.9962

Entry 4:
Rb2Hf: relaxed, PBE-GGA.

Results
V: 209.5 Å³ per atom
Spin magnetization: 4.0 μB/f.u.
Energy above the most stable polymorph in this dataset: 477 meV/atom

abc: 12.1131 12.1131 12.1131
angles: 60.00 60.00 60.00
Sites, in units of the cell vectors:
Rb 0.0000 0.0000 0.0000
Rb 0.0000 0.0000 0.5000
Rb 0.0000 0.5000 0.0000
Rb 0.5000 0.0000 0.0000
Hf 0.1250 0.1250 0.1250
Hf 0.8750 0.8750 0.8750

Entry 5:
SrFeCuTe3: relaxed, PBE-GGA.

Results
V: 25.4 Å³ per atom
Spin magnetization: 2.9 μB/f.u.
Energy above the most stable polymorph in this dataset: 29 meV/atom

abc: 7.1532 7.1532 10.6045
angles: 90.00 90.00 145.81
Sites, in units of the cell vectors:
Sr 0.2326 0.7674 0.7500
Sr 0.7674 0.2326 0.2500
Fe 0.0000 0.0000 0.0000
Fe 0.0000 0.0000 0.5000
Cu 0.4599 0.5401 0.2500
Cu 0.5401 0.4599 0.7500
Te 0.0698 0.9302 0.2500
Te 0.3679 0.6321 0.0351
Te 0.3679 0.6321 0.4649
Te 0.6321 0.3679 0.5351
Te 0.6321 0.3679 0.9649
Te 0.9302 0.0698 0.7500

Entry 6:
Tm3Al3Ni2Ge: relaxed, PBE-GGA.

Results
V: 19.0 Å³ per atom
Spin magnetization: 0.0 μB/f.u.
Energy above the most stable polymorph in this dataset: 357 meV/atom

abc: 7.8245 7.8245 3.2263
angles: 90.00 90.00 120.00
Sites, in units of the cell vectors:
Tm 0.0000 0.3021 0.0000
Tm 0.3021 0.0000 0.0000
Tm 0.6979 0.6979 0.0000
Al 0.0000 0.6215 0.5000
Al 0.3785 0.3785 0.5000
Al 0.6215 0.0000 0.5000
Ni 0.3333 0.6667 0.0000
Ni 0.6667 0.3333 0.0000
Ge 0.0000 0.0000 0.5000

Entry 7:
BiPd2W: relaxed, PBE-GGA.

Results
V: 17.8 Å³ per atom
Calculated total energy: -0.2366 hartree per atom
Spin magnetization: 0.1 μB/f.u.

abc: 4.6536 4.6536 4.6536
angles: 60.00 60.00 60.00
Sites, in units of the cell vectors:
Bi 0.0000 0.0000 0.0000
Pd 0.5000 0.5000 0.5000
Pd 0.7500 0.7500 0.7500
W 0.2500 0.2500 0.2500

Entry 8:
Dy2As2O5: relaxed, PBE-GGA.

Results
V: 12.6 Å³ per atom
Spin magnetization: 0.0 μB/f.u.
Energy above the most stable polymorph in this dataset: 159 meV/atom

abc: 4.0995 4.0995 6.7704
angles: 90.00 90.00 90.00
Sites, in units of the cell vectors:
Dy 0.0000 0.0000 0.0000
Dy 0.0000 0.0000 0.5000
As 0.5000 0.5000 0.2097
As 0.5000 0.5000 0.7903
O 0.0000 0.5000 0.2366
O 0.0000 0.5000 0.7634
O 0.5000 0.0000 0.2366
O 0.5000 0.0000 0.7634
O 0.5000 0.5000 0.5000

Entry 9:
K2MgAgF6: relaxed, PBE-GGA.

Results
V: 13.8 Å³ per atom
Energy above the most stable polymorph in this dataset: 7 meV/atom

abc: 5.7901 5.7901 5.7901
angles: 60.09 60.09 60.09
Sites, in units of the cell vectors:
K 0.2500 0.2500 0.2500
K 0.7500 0.7500 0.7500
Mg 0.0000 0.0000 0.0000
Ag 0.5000 0.5000 0.5000
F 0.2357 0.2357 0.7638
F 0.2357 0.7638 0.2357
F 0.2362 0.7643 0.7643
F 0.7638 0.2357 0.2357
F 0.7643 0.2362 0.7643
F 0.7643 0.7643 0.2362

Entry 10:
Nb3AgSb5: relaxed, PBE-GGA.

Results
V: 26.3 Å³ per atom
Calculated total energy: -0.2184 hartree per atom
Spin magnetization: 0.0 μB/f.u.

abc: 5.7076 5.7076 8.4047
angles: 90.00 90.00 120.00
Sites, in units of the cell vectors:
Nb 0.0000 0.5000 0.0000
Nb 0.5000 0.0000 0.0000
Nb 0.5000 0.5000 0.0000
Ag 0.0000 0.0000 0.5000
Sb 0.0000 0.0000 0.0000
Sb 0.3333 0.6667 0.2903
Sb 0.3333 0.6667 0.7097
Sb 0.6667 0.3333 0.2903
Sb 0.6667 0.3333 0.7097